[1]
# La2MnPt, optimized geometry, DFT GGA-PBE
# DOS(E_F): 4.83 states/eV per cell
# Crystal system: monoclinic
# Calculated density: 8.529 Mg/m³
# Formation energy: -454 meV per atom
data_La2MnPt
_chemical_formula_sum 'La2 Mn1 Pt1'
_cell_length_a 4.1117
_cell_length_b 4.5140
_cell_length_c 5.9043
_cell_angle_alpha 90.00
_cell_angle_beta 110.32
_cell_angle_gamma 90.00
_symmetry_space_group_name_H-M 'P 1 m 1'
_symmetry_Int_Tables_number 6
loop_
_symmetry_equiv_pos_as_xyz
'x,y,z'
'x,-y,z'
loop_
_atom_site_label
_atom_site_fract_x
_atom_site_fract_y
_atom_site_fract_z
La1 0.0000 0.0000 0.0000
La2 0.2887 0.5000 0.5798
Mn1 0.5773 0.5000 0.1541
Pt1 0.7114 0.0000 0.4244

=====

[2]
# VGaIrRh, optimized geometry, DFT GGA-PBE
# DOS(E_F): 6.51 states/eV per cell
# Crystal system: tetragonal
# Calculated density: 12.303 Mg/m³
# Formation energy: -524 meV per atom
data_VGaIrRh
_chemical_formula_sum 'V2 Ga2 Ir2 Rh2'
_cell_length_a 3.9843
_cell_length_b 3.9843
_cell_length_c 7.0703
_cell_angle_alpha 90.00
_cell_angle_beta 90.00
_cell_angle_gamma 90.00
_symmetry_space_group_name_H-M 'I -4 m 2'
_symmetry_Int_Tables_number 119
_symmetry_space_group_name_Hall 'I -4 -2'
loop_
_atom_site_label
_atom_site_fract_x
_atom_site_fract_y
_atom_site_fract_z
V1 0.0000 0.0000 0.0000
Ga1 0.0000 0.0000 0.5000
Ir1 0.0000 0.5000 0.2500
Rh1 0.0000 0.5000 0.7500

=====

[3]
# La4AuSe2Br, optimized geometry, DFT GGA-PBE
# Raw formation energy: -1.524 eV/atom
# DOS(E_F): 5.75 states/eV per cell
# Crystal system: monoclinic
# Calculated density: 7.043 Mg/m³
data_La4AuSe2Br
_chemical_formula_sum 'La4 Au1 Se2 Br1'
_cell_length_a 7.5586
_cell_length_b 4.2650
_cell_length_c 7.6523
_cell_angle_alpha 90.00
_cell_angle_beta 108.82
_cell_angle_gamma 90.00
_symmetry_space_group_name_H-M 'P 1 2/m 1'
_symmetry_Int_Tables_number 10
loop_
_symmetry_equiv_pos_as_xyz
'x,y,z'
'-x,-y,-z'
'-x,y,-z'
'x,-y,z'
loop_
_atom_site_label
_atom_site_fract_x
_atom_site_fract_y
_atom_site_fract_z
La1 0.2403 0.0000 0.2349
La2 0.2450 0.5000 0.7532
Au1 0.0000 0.0000 0.5000
Se1 0.0000 0.5000 0.0000
Se2 0.5000 0.0000 0.0000
Br1 0.5000 0.5000 0.5000

=====

[4]
# Zn2BiRu2, optimized geometry, DFT GGA-PBE
# DOS(E_F): 4.88 states/eV per cell
# Crystal system: tetragonal
# Calculated density: 10.658 Mg/m³
# Formation energy: 308 meV per atom
data_Zn2BiRu2
_chemical_formula_sum 'Zn4 Bi2 Ru4'
_cell_length_a 3.4575
_cell_length_b 3.4575
_cell_length_c 14.1262
_cell_angle_alpha 90.00
_cell_angle_beta 90.00
_cell_angle_gamma 90.00
_symmetry_space_group_name_H-M 'I 4/m m m'
_symmetry_Int_Tables_number 139
_symmetry_space_group_name_Hall '-I 4 2'
loop_
_atom_site_label
_atom_site_fract_x
_atom_site_fract_y
_atom_site_fract_z
Zn1 0.0000 0.5000 0.2500
Bi1 0.0000 0.0000 0.0000
Ru1 0.0000 0.0000 0.3941

=====

[5]
# GePd6Au3, optimized geometry, DFT GGA-PBE
# DOS(E_F): 10.93 states/eV per cell
# Crystal system: monoclinic
# Calculated density: 13.112 Mg/m³
# Formation energy: -151 meV per atom
data_GePd6Au3
_chemical_formula_sum 'Ge2 Pd12 Au6'
_cell_length_a 11.3505
_cell_length_b 2.8827
_cell_length_c 11.3621
_cell_angle_alpha 90.00
_cell_angle_beta 117.49
_cell_angle_gamma 90.00
_symmetry_space_group_name_H-M 'P 1 21/m 1'
_symmetry_Int_Tables_number 11
loop_
_symmetry_equiv_pos_as_xyz
'x,y,z'
'-x,-y,-z'
'-x,y+1/2,-z'
'x,-y+1/2,z'
loop_
_atom_site_label
_atom_site_fract_x
_atom_site_fract_y
_atom_site_fract_z
Ge1 0.2279 0.2500 0.3149
Pd1 0.0478 0.2500 0.3921
Pd2 0.0597 0.7500 0.1251
Pd3 0.2739 0.2500 0.1242
Pd4 0.2941 0.7500 0.5146
Pd5 0.3818 0.2500 0.9486
Pd6 0.4457 0.7500 0.3737
Au1 0.1498 0.7500 0.8797
Au2 0.1915 0.2500 0.6718
Au3 0.4539 0.7500 0.7811

=====

[6]
# I2Br, optimized geometry, DFT GGA-PBE
# Raw formation energy: -0.015 eV/atom
# Crystal system: triclinic
# Calculated density: 3.200 Mg/m³
data_I2Br
_chemical_formula_sum 'I4 Br2'
_cell_length_a 5.5037
_cell_length_b 7.9692
_cell_length_c 8.8379
_cell_angle_alpha 108.27
_cell_angle_beta 106.41
_cell_angle_gamma 95.06
_symmetry_space_group_name_H-M 'P 1'
_symmetry_Int_Tables_number 1
loop_
_symmetry_equiv_pos_as_xyz
'x,y,z'
loop_
_atom_site_label
_atom_site_fract_x
_atom_site_fract_y
_atom_site_fract_z
I1 0.0000 0.0000 0.0000
I2 0.0473 0.4590 0.7329
I3 0.2683 0.7474 0.1357
I4 0.4882 0.9654 0.4786
Br1 0.2493 0.6698 0.6125
Br2 0.7387 0.2177 0.8630

=====

[7]
# KBa2SrPt, optimized geometry, DFT GGA-PBE
# DOS(E_F): 2.79 states/eV per cell
# Crystal system: tetragonal
# Calculated density: 3.941 Mg/m³
# Formation energy: -386 meV per atom
data_KBa2SrPt
_chemical_formula_sum 'K1 Ba2 Sr1 Pt1'
_cell_length_a 6.3773
_cell_length_b 6.3773
_cell_length_c 6.1794
_cell_angle_alpha 90.00
_cell_angle_beta 90.00
_cell_angle_gamma 90.00
_symmetry_space_group_name_H-M 'P 4/m m m'
_symmetry_Int_Tables_number 123
_symmetry_space_group_name_Hall '-P 4 2'
loop_
_atom_site_label
_atom_site_fract_x
_atom_site_fract_y
_atom_site_fract_z
K1 0.0000 0.0000 0.0000
Ba1 0.0000 0.5000 0.5000
Sr1 0.5000 0.5000 0.0000
Pt1 0.5000 0.5000 0.5000

=====

[8]
# YErZnCd, optimized geometry, DFT GGA-PBE
# DOS(E_F): 13.21 states/eV per cell
# Crystal system: cubic
# Calculated density: 7.393 Mg/m³
# Formation energy: -328 meV per atom
data_YErZnCd
_chemical_formula_sum 'Y4 Er4 Zn4 Cd4'
_cell_length_a 7.3055
_cell_length_b 7.3055
_cell_length_c 7.3055
_cell_angle_alpha 90.00
_cell_angle_beta 90.00
_cell_angle_gamma 90.00
_symmetry_space_group_name_H-M 'F -4 3 m'
_symmetry_Int_Tables_number 216
_symmetry_space_group_name_Hall 'F -4 2 3'
loop_
_atom_site_label
_atom_site_fract_x
_atom_site_fract_y
_atom_site_fract_z
Y1 0.0000 0.0000 0.0000
Er1 0.0000 0.0000 0.5000
Zn1 0.2500 0.2500 0.7500
Cd1 0.2500 0.2500 0.2500

=====

[9]
# CeDyAl, optimized geometry, DFT GGA-PBE
# DOS(E_F): 11.37 states/eV per cell
# Crystal system: tetragonal
# Calculated density: 6.507 Mg/m³
# Formation energy: 463 meV per atom
data_CeDyAl
_chemical_formula_sum 'Ce2 Dy2 Al2'
_cell_length_a 3.0806
_cell_length_b 3.0806
_cell_length_c 17.7255
_cell_angle_alpha 90.00
_cell_angle_beta 90.00
_cell_angle_gamma 90.00
_symmetry_space_group_name_H-M 'I 4 m m'
_symmetry_Int_Tables_number 107
_symmetry_space_group_name_Hall 'I 4 -2'
loop_
_atom_site_label
_atom_site_fract_x
_atom_site_fract_y
_atom_site_fract_z
Ce1 0.0000 0.0000 0.0000
Dy1 0.0000 0.0000 0.3457
Al1 0.0000 0.0000 0.1736

=====

[10]
# LiBeH4NF4, optimized geometry, DFT GGA-PBE
# DOS(E_F): 0.00 states/eV per cell
# Crystal system: orthorhombic
# Calculated density: 1.644 Mg/m³
# VASP energy: -225.421 eV/cell
data_LiBeH4NF4
_chemical_formula_sum 'Li4 Be4 H16 N4 F16'
_cell_length_a 9.5427
_cell_length_b 5.1462
_cell_length_c 9.0492
_cell_angle_alpha 90.00
_cell_angle_beta 90.00
_cell_angle_gamma 90.00
_symmetry_space_group_name_H-M 'P c a 21'
_symmetry_Int_Tables_number 29
loop_
_symmetry_equiv_pos_as_xyz
'x,y,z'
'-x,-y,z+1/2'
'-x+1/2,y,z+1/2'
'x+1/2,-y,z'
loop_
_atom_site_label
_atom_site_fract_x
_atom_site_fract_y
_atom_site_fract_z
Li1 0.1004 0.1083 0.0000
Be1 0.0996 0.1073 0.6238
H1 0.1455 0.6549 0.2238
H2 0.1679 0.6675 0.4125
H3 0.2010 0.7453 0.7960
H4 0.2492 0.4330 0.3115
N1 0.2148 0.6225 0.3116
F1 0.0462 0.7712 0.0817
F2 0.0867 0.8183 0.5649
F3 0.1190 0.1022 0.7960
F4 0.2287 0.2443 0.5572

=====

[11]
# Mg3Os, optimized geometry, DFT GGA-PBE
# DOS(E_F): 3.77 states/eV per cell
# Crystal system: cubic
# Calculated density: 6.271 Mg/m³
# Formation energy: 218 meV per atom
data_Mg3Os
_chemical_formula_sum 'Mg3 Os1'
_cell_length_a 4.1151
_cell_length_b 4.1151
_cell_length_c 4.1151
_cell_angle_alpha 90.00
_cell_angle_beta 90.00
_cell_angle_gamma 90.00
_symmetry_space_group_name_H-M 'P m -3 m'
_symmetry_Int_Tables_number 221
_symmetry_space_group_name_Hall '-P 4 2 3'
loop_
_atom_site_label
_atom_site_fract_x
_atom_site_fract_y
_atom_site_fract_z
Mg1 0.0000 0.0000 0.5000
Os1 0.5000 0.5000 0.5000

=====

[12]
# SmDy3Au2, optimized geometry, DFT GGA-PBE
# DOS(E_F): 32.00 states/eV per cell
# Crystal system: orthorhombic
# Calculated density: 9.477 Mg/m³
# Formation energy: -445 meV per atom
data_SmDy3Au2
_chemical_formula_sum 'Sm4 Dy12 Au8'
_cell_length_a 7.0880
_cell_length_b 13.9458
_cell_length_c 7.3155
_cell_angle_alpha 90.00
_cell_angle_beta 90.00
_cell_angle_gamma 90.00
_symmetry_space_group_name_H-M 'I b a m'
_symmetry_Int_Tables_number 72
_symmetry_space_group_name_Hall '-I 2 2c'
loop_
_atom_site_label
_atom_site_fract_x
_atom_site_fract_y
_atom_site_fract_z
Sm1 0.0000 0.0000 0.0000
Dy1 0.0000 0.2341 0.2500
Dy2 0.0000 0.5000 0.2500
Au1 0.2029 0.3571 0.0000

=====

[13]
# NbN2F, optimized geometry, DFT GGA-PBE
# Raw formation energy: 0.101 eV/atom
# DOS(E_F): 4.62 states/eV per cell
# Crystal system: tetragonal
# Calculated density: 3.622 Mg/m³
data_NbN2F
_chemical_formula_sum 'Nb4 N8 F4'
_cell_length_a 4.9840
_cell_length_b 4.9840
_cell_length_c 10.3286
_cell_angle_alpha 90.00
_cell_angle_beta 90.00
_cell_angle_gamma 90.00
_symmetry_space_group_name_H-M 'I -4 2 d'
_symmetry_Int_Tables_number 122
_symmetry_space_group_name_Hall 'I -4 2bw'
loop_
_atom_site_label
_atom_site_fract_x
_atom_site_fract_y
_atom_site_fract_z
Nb1 0.0000 0.0000 0.0000
N1 0.1506 0.2500 0.1250
F1 0.0000 0.0000 0.5000

=====

[14]
# Pm4Pt2N, optimized geometry, DFT GGA-PBE
# Raw formation energy: -1.046 eV/atom
# DOS(E_F): 13.33 states/eV per cell
# Crystal system: monoclinic
# Calculated density: 9.992 Mg/m³
data_Pm4Pt2N
_chemical_formula_sum 'Pm8 Pt4 N2'
_cell_length_a 12.8732
_cell_length_b 3.7817
_cell_length_c 8.1294
_cell_angle_alpha 90.00
_cell_angle_beta 124.26
_cell_angle_gamma 90.00
_symmetry_space_group_name_H-M 'C 1 2/m 1'
_symmetry_Int_Tables_number 12
loop_
_symmetry_equiv_pos_as_xyz
'x,y,z'
'-x,-y,-z'
'-x,y,-z'
'x,-y,z'
'x+1/2,y+1/2,z'
'-x+1/2,-y+1/2,-z'
'-x+1/2,y+1/2,-z'
'x+1/2,-y+1/2,z'
loop_
_atom_site_label
_atom_site_fract_x
_atom_site_fract_y
_atom_site_fract_z
Pm1 0.0829 0.0000 0.3651
Pm2 0.1545 0.5000 0.0672
Pt1 0.1286 0.5000 0.6849
N1 0.0000 0.0000 0.0000

=====

[15]
# Ni5P, optimized geometry, DFT GGA-PBE
# DOS(E_F): 17.63 states/eV per cell
# Crystal system: orthorhombic
# Calculated density: 8.267 Mg/m³
# Formation energy: -92 meV per atom
data_Ni5P
_chemical_formula_sum 'Ni10 P2'
_cell_length_a 4.0120
_cell_length_b 2.6340
_cell_length_c 12.3331
_cell_angle_alpha 90.00
_cell_angle_beta 90.00
_cell_angle_gamma 90.00
_symmetry_space_group_name_H-M 'A m m 2'
_symmetry_Int_Tables_number 38
loop_
_symmetry_equiv_pos_as_xyz
'x,y,z'
'-x,-y,z'
'-x,y,z'
'x,-y,z'
'x,y+1/2,z+1/2'
'-x,-y+1/2,z+1/2'
'-x,y+1/2,z+1/2'
'x,-y+1/2,z+1/2'
loop_
_atom_site_label
_atom_site_fract_x
_atom_site_fract_y
_atom_site_fract_z
Ni1 0.0000 0.0000 0.0000
Ni2 0.0000 0.0000 0.3187
Ni3 0.5000 0.0000 0.1145
Ni4 0.5000 0.0000 0.4454
Ni5 0.5000 0.0000 0.7808
P1 0.0000 0.0000 0.6622

=====

[16]
# TiTe2SeO, optimized geometry, DFT GGA-PBE
# Raw formation energy: 0.340 eV/atom
# DOS(E_F): 6.36 states/eV per cell
# Crystal system: tetragonal
# Calculated density: 5.049 Mg/m³
data_TiTe2SeO
_chemical_formula_sum 'Ti1 Te2 Se1 O1'
_cell_length_a 5.2612
_cell_length_b 5.2612
_cell_length_c 4.7293
_cell_angle_alpha 90.00
_cell_angle_beta 90.00
_cell_angle_gamma 90.00
_symmetry_space_group_name_H-M 'P 4/m m m'
_symmetry_Int_Tables_number 123
_symmetry_space_group_name_Hall '-P 4 2'
loop_
_atom_site_label
_atom_site_fract_x
_atom_site_fract_y
_atom_site_fract_z
Ti1 0.0000 0.0000 0.0000
Te1 0.0000 0.5000 0.0000
Se1 0.0000 0.0000 0.5000
O1 0.5000 0.5000 0.5000

=====

[17]
# BN, optimized geometry, DFT GGA-PBE
# Raw formation energy: -1.015 eV/atom
# DOS(E_F): 0.00 states/eV per cell
# Crystal system: orthorhombic
# Calculated density: 3.035 Mg/m³
data_BN
_chemical_formula_sum 'B4 N4'
_cell_length_a 4.8894
_cell_length_b 2.5907
_cell_length_c 4.2882
_cell_angle_alpha 90.00
_cell_angle_beta 90.00
_cell_angle_gamma 90.00
_symmetry_space_group_name_H-M 'P n m a'
_symmetry_Int_Tables_number 62
loop_
_symmetry_equiv_pos_as_xyz
'x,y,z'
'-x,-y,-z'
'-x+1/2,-y,z+1/2'
'x+1/2,y,-z+1/2'
'x+1/2,-y+1/2,-z+1/2'
'-x+1/2,y+1/2,z+1/2'
'-x,y+1/2,-z'
'x,-y+1/2,z'
loop_
_atom_site_label
_atom_site_fract_x
_atom_site_fract_y
_atom_site_fract_z
B1 0.1599 0.2500 0.0913
N1 0.1773 0.7500 0.8909

=====

[18]
# Ac6AlPb3, optimized geometry, DFT GGA-PBE
# DOS(E_F): 20.25 states/eV per cell
# Crystal system: monoclinic
# Calculated density: 9.074 Mg/m³
# Formation energy: -321 meV per atom
data_Ac6AlPb3
_chemical_formula_sum 'Ac12 Al2 Pb6'
_cell_length_a 10.3701
_cell_length_b 5.8649
_cell_length_c 12.7420
_cell_angle_alpha 90.00
_cell_angle_beta 108.27
_cell_angle_gamma 90.00
_symmetry_space_group_name_H-M 'P 1 21/m 1'
_symmetry_Int_Tables_number 11
loop_
_symmetry_equiv_pos_as_xyz
'x,y,z'
'-x,-y,-z'
'-x,y+1/2,-z'
'x,-y+1/2,z'
loop_
_atom_site_label
_atom_site_fract_x
_atom_site_fract_y
_atom_site_fract_z
Ac1 0.0286 0.2500 0.4050
Ac2 0.1472 0.7500 0.1669
Ac3 0.2715 0.2500 0.9913
Ac4 0.3422 0.7500 0.8228
Ac5 0.3647 0.2500 0.3332
Ac6 0.4039 0.2500 0.6275
Al1 0.4450 0.7500 0.1043
Pb1 0.0174 0.7500 0.8806
Pb2 0.1251 0.2500 0.7041
Pb3 0.2832 0.7500 0.4638

=====

[19]
# LuCuHg2, optimized geometry, DFT GGA-PBE
# DOS(E_F): 7.02 states/eV per cell
# Crystal system: cubic
# Calculated density: 13.053 Mg/m³
# Formation energy: -198 meV per atom
data_LuCuHg2
_chemical_formula_sum 'Lu4 Cu4 Hg8'
_cell_length_a 6.8791
_cell_length_b 6.8791
_cell_length_c 6.8791
_cell_angle_alpha 90.00
_cell_angle_beta 90.00
_cell_angle_gamma 90.00
_symmetry_space_group_name_H-M 'F m -3 m'
_symmetry_Int_Tables_number 225
_symmetry_space_group_name_Hall '-F 4 2 3'
loop_
_atom_site_label
_atom_site_fract_x
_atom_site_fract_y
_atom_site_fract_z
Lu1 0.0000 0.0000 0.0000
Cu1 0.0000 0.0000 0.5000
Hg1 0.2500 0.2500 0.2500

=====

[20]
# Cs2KTl6Pb, optimized geometry, DFT GGA-PBE
# DOS(E_F): 8.42 states/eV per cell
# Crystal system: monoclinic
# Calculated density: 5.701 Mg/m³
# Formation energy: 97 meV per atom
data_Cs2KTl6Pb
_chemical_formula_sum 'Cs4 K2 Tl12 Pb2'
_cell_length_a 12.6406
_cell_length_b 12.6579
_cell_length_c 8.9192
_cell_angle_alpha 90.00
_cell_angle_beta 134.80
_cell_angle_gamma 90.00
_symmetry_space_group_name_H-M 'C 1 2/m 1'
_symmetry_Int_Tables_number 12
loop_
_symmetry_equiv_pos_as_xyz
'x,y,z'
'-x,-y,-z'
'-x,y,-z'
'x,-y,z'
'x+1/2,y+1/2,z'
'-x+1/2,-y+1/2,-z'
'-x+1/2,y+1/2,-z'
'x+1/2,-y+1/2,z'
loop_
_atom_site_label
_atom_site_fract_x
_atom_site_fract_y
_atom_site_fract_z
Cs1 0.0000 0.2500 0.0000
K1 0.0000 0.0000 0.5000
Tl1 0.0000 0.2639 0.5000
Tl2 0.2358 0.5000 0.9722
Tl3 0.2366 0.5000 0.5001
Pb1 0.0000 0.5000 0.5000